No. 1
The following is a PBE-GGA calculation of a relaxed NaTlCrSe3 crystal, from the Alexandria database.

a = 6.752 Å, b = 7.438 Å, c = 7.952 Å
α = 117.88°, β = 90.00°, γ = 90.00°
Last column: magnetic moment on the atom in μB.
Sites, in units of the cell vectors:
Se: 0.500 0.217 0.000  -0.13
Se: 0.750 0.785 0.569  -0.12
Tl: 0.750 0.201 0.402  0.00
Se: 0.250 0.215 0.431  -0.12
Cr: 0.250 0.052 0.104  2.30
Se: 0.500 0.783 0.000  -0.13
Cr: 0.750 0.948 0.896  2.30
Na: 0.250 0.416 0.832  0.00
Tl: 0.250 0.799 0.598  0.00
Se: 0.000 0.783 0.000  -0.13
Na: 0.750 0.584 0.168  0.00
Se: 0.000 0.217 0.000  -0.13

raw formation energy = -3.10 eV per formula unit
theoretical density = 4.9 Mg/m³
crystal system = orthorhombic
energy = -0.329 Ry/atom
magnetic moment = 2.0 μB per formula unit

=====

No. 2
The following is a PBE-GGA calculation of a relaxed Sb2OsRhN crystal, from the Alexandria database.

a = 5.289 Å, b = 3.624 Å, c = 5.289 Å
α = 90.00°, β = 90.00°, γ = 90.00°
Sites, in units of the cell vectors:
Os: 0.000 0.000 0.000
Sb: 0.000 0.000 0.500
N: 0.000 0.500 0.000
Rh: 0.500 0.500 0.500
Sb: 0.500 0.000 0.000

raw formation energy = 2.94 eV per formula unit
excess energy over the best structure of this formula in the dataset = 0.00 eV per formula unit
theoretical density = 9.0 Mg/m³
crystal system = tetragonal
energy = -0.473 Ry/atom
magnetic moment = 0.0 μB per formula unit

=====

No. 3
The following is a PBE-GGA calculation of a relaxed Fe3SiCl crystal, from the Alexandria database.

a = 4.378 Å, b = 4.378 Å, c = 4.378 Å
α = 90.00°, β = 90.00°, γ = 90.00°
Last column: magnetic moment on the atom in μB.
Sites, in units of the cell vectors:
Si: 0.000 0.000 0.000  -0.16
Fe: 0.500 0.000 0.000  2.27
Fe: 0.000 0.000 0.500  2.20
Cl: 0.500 0.500 0.500  0.14
Fe: 0.000 0.500 0.000  2.32

raw formation energy = 4.24 eV per formula unit
excess energy over the best structure of this formula in the dataset = 0.00 eV per formula unit
theoretical density = 4.6 Mg/m³
crystal system = cubic
energy = -0.418 Ry/atom
magnetic moment = 6.7 μB per formula unit

=====

No. 4
The following is a PBE-GGA calculation of a relaxed CsBS2 crystal, from the Alexandria database.

a = 6.256 Å, b = 3.631 Å, c = 17.311 Å
α = 90.00°, β = 90.00°, γ = 90.00°
Sites, in units of the cell vectors:
Cs: 0.428 0.250 0.337
Cs: 0.072 0.750 0.837
S: 0.811 0.250 0.496
Cs: 0.572 0.750 0.663
S: 0.189 0.750 0.504
S: 0.689 0.750 0.996
B: 0.435 0.750 0.059
S: 0.077 0.250 0.662
B: 0.065 0.250 0.559
B: 0.565 0.250 0.941
B: 0.935 0.750 0.441
Cs: 0.928 0.250 0.163
S: 0.577 0.250 0.838
S: 0.423 0.750 0.162
S: 0.311 0.250 0.004
S: 0.923 0.750 0.338

raw formation energy = -2.53 eV per formula unit
excess energy over the best structure of this formula in the dataset = 1.02 eV per formula unit
theoretical density = 3.5 Mg/m³
crystal system = orthorhombic
energy = -0.337 Ry/atom
magnetic moment = 0.0 μB per formula unit

=====

No. 5
The following is a PBE-GGA calculation of a relaxed Li3Y5Te8 crystal, from the Alexandria database.

a = 8.652 Å, b = 8.652 Å, c = 8.681 Å
α = 60.11°, β = 60.11°, γ = 60.00°
Sites, in units of the cell vectors:
Te: 0.248 0.248 0.257
Y: 0.000 0.500 0.000
Te: 0.750 0.750 0.258
Te: 0.250 0.758 0.742
Li: 0.000 0.500 0.500
Te: 0.242 0.750 0.258
Li: 0.000 0.000 0.500
Te: 0.250 0.250 0.742
Li: 0.500 0.000 0.500
Y: 0.500 0.500 0.500
Y: 0.000 0.000 0.000
Y: 0.500 0.500 0.000
Te: 0.752 0.752 0.743
Te: 0.758 0.250 0.742
Te: 0.750 0.242 0.258
Y: 0.500 0.000 0.000

raw formation energy = -21.23 eV per formula unit
theoretical density = 5.4 Mg/m³
crystal system = trigonal
energy = -0.388 Ry/atom
magnetic moment = 0.0 μB per formula unit

=====

No. 6
The following is a PBE-GGA calculation of a relaxed SrRhCl2 crystal, from the Alexandria database.

a = 4.937 Å, b = 4.937 Å, c = 4.937 Å
α = 60.00°, β = 60.00°, γ = 60.00°
Last column: magnetic moment on the atom in μB.
Sites, in units of the cell vectors:
Cl: 0.750 0.750 0.750  0.04
Rh: 0.500 0.500 0.500  0.89
Cl: 0.250 0.250 0.250  0.04
Sr: 0.000 0.000 0.000  -0.01

raw formation energy = -3.35 eV per formula unit
excess energy over the best structure of this formula in the dataset = 0.73 eV per formula unit
theoretical density = 5.1 Mg/m³
crystal system = cubic
energy = -0.295 Ry/atom
magnetic moment = 1.0 μB per formula unit

=====

No. 7
The following is a PBE-GGA calculation of a relaxed SrCaCl crystal, from the Alexandria database.

a = 8.547 Å, b = 8.065 Å, c = 4.028 Å
α = 82.73°, β = 69.39°, γ = 27.87°
Sites, in units of the cell vectors:
Sr: 0.685 0.685 0.315
Ca: 0.977 0.977 0.023
Cl: 0.338 0.338 0.662

raw formation energy = -3.04 eV per formula unit
excess energy over the best structure of this formula in the dataset = 0.12 eV per formula unit
theoretical density = 2.5 Mg/m³
crystal system = orthorhombic
energy = -0.210 Ry/atom
magnetic moment = 0.0 μB per formula unit

=====

No. 8
The following is a PBE-GGA calculation of a relaxed CaNO crystal, from the Alexandria database.

a = 3.343 Å, b = 3.343 Å, c = 9.469 Å
α = 100.36°, β = 100.36°, γ = 90.00°
Sites, in units of the cell vectors:
O: 0.685 0.685 0.873
N: 0.970 0.970 0.439
N: 0.030 0.030 0.561
Ca: 0.183 0.183 0.868
O: 0.315 0.315 0.127
Ca: 0.817 0.817 0.132

raw formation energy = -5.54 eV per formula unit
excess energy over the best structure of this formula in the dataset = 0.00 eV per formula unit
theoretical density = 2.3 Mg/m³
crystal system = monoclinic
energy = -0.510 Ry/atom
magnetic moment = 0.0 μB per formula unit

=====

No. 9
The following is a PBE-GGA calculation of a relaxed La2InH crystal, from the Alexandria database.

a = 7.347 Å, b = 7.347 Å, c = 6.490 Å
α = 55.53°, β = 55.53°, γ = 90.00°
Sites, in units of the cell vectors:
La: 0.875 0.784 0.750
In: 0.750 0.250 0.500
H: 0.500 0.500 0.000
H: 0.250 0.750 0.500
La: 0.375 0.466 0.750
In: 0.000 0.000 0.000
La: 0.216 0.625 0.250
La: 0.534 0.125 0.250

excess energy over the best structure of this formula in the dataset = 0.26 eV per formula unit
theoretical density = 6.2 Mg/m³
crystal system = tetragonal
energy = -0.321 Ry/atom
magnetic moment = 0.0 μB per formula unit

=====

No. 10
The following is a PBE-GGA calculation of a relaxed ZrScPb2 crystal, from the Alexandria database.

a = 6.010 Å, b = 6.009 Å, c = 6.015 Å
α = 137.75°, β = 137.76°, γ = 61.29°
Sites, in units of the cell vectors:
Zr: 0.250 0.750 0.500
Sc: 0.500 0.500 0.000
Pb: 0.000 0.000 0.000
Pb: 0.750 0.250 0.500

excess energy over the best structure of this formula in the dataset = 0.00 eV per formula unit
theoretical density = 9.4 Mg/m³
crystal system = tetragonal
formation energy = -6.11 kcal/mol of atoms
energy = -0.429 Ry/atom
magnetic moment = 0.0 μB per formula unit

=====

No. 11
The following is a PBE-GGA calculation of a relaxed HfTi2Be2 crystal, from the Alexandria database.

a = 6.978 Å, b = 6.978 Å, c = 3.045 Å
α = 90.00°, β = 90.00°, γ = 90.00°
Sites, in units of the cell vectors:
Hf: 0.000 0.000 0.000
Ti: 0.678 0.822 0.500
Hf: 0.500 0.500 0.000
Ti: 0.822 0.322 0.500
Be: 0.112 0.388 0.000
Ti: 0.322 0.178 0.500
Be: 0.388 0.888 0.000
Ti: 0.178 0.678 0.500
Be: 0.888 0.612 0.000
Be: 0.612 0.112 0.000

excess energy over the best structure of this formula in the dataset = 0.00 eV per formula unit
theoretical density = 6.5 Mg/m³
crystal system = tetragonal
formation energy = -0.56 kcal/mol of atoms
energy = -0.490 Ry/atom
magnetic moment = 0.0 μB per formula unit

=====

No. 12
The following is a PBE-GGA calculation of a relaxed Sc3Tl3InSe8 crystal, from the Alexandria database.

a = 7.941 Å, b = 7.945 Å, c = 8.886 Å
α = 116.63°, β = 90.01°, γ = 119.92°
Sites, in units of the cell vectors:
Sc: 0.500 0.000 0.500
Tl: 0.500 0.500 0.000
Tl: 0.000 0.000 0.000
In: 0.000 0.000 0.500
Sc: 0.500 0.500 0.500
Tl: 0.000 0.500 0.000
Sc: 0.000 0.500 0.500
Se: 0.725 0.962 0.700
Se: 0.268 0.535 0.303
Se: 0.763 0.038 0.300
Se: 0.275 0.038 0.300
Se: 0.237 0.962 0.700
Se: 0.237 0.474 0.699
Se: 0.732 0.465 0.697
Se: 0.763 0.526 0.301

raw formation energy = -15.85 eV per formula unit
theoretical density = 6.0 Mg/m³
crystal system = monoclinic
energy = -0.356 Ry/atom
magnetic moment = 0.0 μB per formula unit

=====

magnetic moment of number 8 (CaNO)? 0.0 μB per formula unit

=====

energy of number 8 (CaNO)? -0.510 Ry/atom

=====

Which of these has the highest theoretical density? ZrScPb2